Entry 1:
# GGA-PBE K2CeBrCl6, relaxed
data_K2CeBrCl6
_cell_length_a 8.441
_cell_length_b 7.510
_cell_length_c 10.060
_cell_angle_alpha 47.87
_cell_angle_beta 55.33
_cell_angle_gamma 58.52
_space_group_name_H-M_alt 'P 1'
_space_group_IT_number 1
loop_
_space_group_symop_operation_xyz
'x,y,z'
loop_
_atom_site_label
_atom_site_fract_x
_atom_site_fract_y
_atom_site_fract_z
K1 0.559 0.297 0.494
K2 0.939 0.057 0.009
Ce1 0.321 0.366 0.008
Br1 0.909 0.810 0.449
Cl1 0.491 0.267 0.210
Cl2 0.285 0.889 0.246
Cl3 0.960 0.493 0.214
Cl4 0.352 0.826 0.783
Cl5 0.669 0.213 0.805
Cl6 0.177 0.442 0.797
# E_form (uncorrected) in kJ/mol of formula units: -1647

---

Entry 2:
# GGA-PBE K2CeBr4Cl2, relaxed
data_K2CeBr4Cl2
_cell_length_a 7.752
_cell_length_b 7.870
_cell_length_c 7.870
_cell_angle_alpha 59.28
_cell_angle_beta 59.83
_cell_angle_gamma 59.83
_space_group_name_H-M_alt 'P 1'
_space_group_IT_number 1
loop_
_space_group_symop_operation_xyz
'x,y,z'
loop_
_atom_site_label
_atom_site_fract_x
_atom_site_fract_y
_atom_site_fract_z
K1 0.258 0.756 0.756
K2 0.742 0.244 0.244
Ce1 0.500 0.000 0.000
Br1 0.310 0.694 0.197
Br2 0.690 0.803 0.306
Br3 0.690 0.306 0.803
Br4 0.310 0.197 0.694
Cl1 0.167 0.225 0.225
Cl2 0.833 0.775 0.775
# E_form (uncorrected) in kJ/mol of formula units: -1551

---

Entry 3:
# GGA-PBE K2CeBr2Cl4, relaxed
data_K2CeBr2Cl4
_cell_length_a 7.613
_cell_length_b 7.613
_cell_length_c 7.613
_cell_angle_alpha 88.10
_cell_angle_beta 121.10
_cell_angle_gamma 121.10
_space_group_name_H-M_alt 'P 1'
_space_group_IT_number 1
loop_
_space_group_symop_operation_xyz
'x,y,z'
loop_
_atom_site_label
_atom_site_fract_x
_atom_site_fract_y
_atom_site_fract_z
K1 0.500 0.750 0.250
K2 0.500 0.250 0.750
Ce1 0.000 0.000 0.000
Br1 0.000 0.744 0.744
Br2 0.000 0.256 0.256
Cl1 0.000 0.753 0.247
Cl2 0.506 0.753 0.753
Cl3 0.000 0.247 0.753
Cl4 0.494 0.247 0.247
# E_form (uncorrected) in kJ/mol of formula units: -1620

---

Entry 4:
# GGA-PBE Ce2BrNCl, relaxed
data_Ce2BrNCl
_cell_length_a 3.942
_cell_length_b 3.942
_cell_length_c 10.466
_cell_angle_alpha 90.00
_cell_angle_beta 90.00
_cell_angle_gamma 120.00
_space_group_name_H-M_alt 'P 1'
_space_group_IT_number 1
loop_
_space_group_symop_operation_xyz
'x,y,z'
loop_
_atom_site_label
_atom_site_fract_x
_atom_site_fract_y
_atom_site_fract_z
Ce1 0.333 0.667 0.437
Ce2 0.667 0.333 0.726
Br1 0.000 0.000 0.918
N1 0.333 0.667 0.648
Cl1 0.667 0.333 0.270
# E_form (uncorrected) in kJ/mol of formula units: -771

---

Entry 5:
# GGA-PBE Na2Ce2Br2Cl5, relaxed
data_Na2Ce2Br2Cl5
_cell_length_a 5.639
_cell_length_b 5.639
_cell_length_c 13.600
_cell_angle_alpha 101.96
_cell_angle_beta 101.96
_cell_angle_gamma 90.00
_space_group_name_H-M_alt 'P 1'
_space_group_IT_number 1
loop_
_space_group_symop_operation_xyz
'x,y,z'
loop_
_atom_site_label
_atom_site_fract_x
_atom_site_fract_y
_atom_site_fract_z
Na1 0.327 0.327 0.653
Na2 0.673 0.673 0.347
Ce1 0.108 0.108 0.216
Ce2 0.892 0.892 0.784
Br1 0.219 0.219 0.438
Br2 0.781 0.781 0.562
Cl1 0.000 0.000 0.000
Cl2 0.618 0.118 0.237
Cl3 0.882 0.382 0.763
Cl4 0.118 0.618 0.237
Cl5 0.382 0.882 0.763
# E_form (uncorrected) in kJ/mol of formula units: -1919

---

Entry 6:
# GGA-PBE Na2Ce2Br5Cl2, relaxed
data_Na2Ce2Br5Cl2
_cell_length_a 5.996
_cell_length_b 5.996
_cell_length_c 13.150
_cell_angle_alpha 103.18
_cell_angle_beta 103.18
_cell_angle_gamma 90.00
_space_group_name_H-M_alt 'P 1'
_space_group_IT_number 1
loop_
_space_group_symop_operation_xyz
'x,y,z'
loop_
_atom_site_label
_atom_site_fract_x
_atom_site_fract_y
_atom_site_fract_z
Na1 0.332 0.332 0.665
Na2 0.668 0.668 0.335
Ce1 0.119 0.119 0.238
Ce2 0.881 0.881 0.762
Br1 0.000 0.000 0.000
Br2 0.624 0.124 0.247
Br3 0.876 0.376 0.753
Br4 0.124 0.624 0.247
Br5 0.376 0.876 0.753
Cl1 0.227 0.227 0.454
Cl2 0.773 0.773 0.546
# E_form (uncorrected) in kJ/mol of formula units: -1769

---

Calculated calculated volume in order - 378.5; 336.8; 306.6; 140.8; 413.4; 447.5 Å³ per cell
Calculated final energy in order - -37.95; -34.59; -35.65; -31.70; -46.98; -44.89 eV/cell